Computed, not measured: an optimized crystal structure of BeVAgO4 at the GGA+U level of DFT.

Properties
- crystal system = tetragonal
- SG = No. 82
- calculated volume (Å³/cell) = 189.3
- final energy (eV per atom) = -6.576

```
BeVAgO4
1.0
4.945 0.000 0.000
0.000 4.945 0.000
0.000 0.000 7.740
Be V Ag O
2 2 2 8
Direct
0.000 0.000 0.000
0.500 0.500 0.500
0.000 0.500 0.750
0.500 0.000 0.250
0.000 0.500 0.250
0.500 0.000 0.750
0.128 0.762 0.878
0.238 0.128 0.122
0.262 0.372 0.622
0.372 0.738 0.378
0.628 0.262 0.378
0.738 0.628 0.622
0.762 0.872 0.122
0.872 0.238 0.878
```